Density functional theory data (GGA-PBEsol) for crystalline TiAl6Mo at its relaxed geometry.

a b c (Å): 3.7832 3.7832 8.4181
angles (deg): 90.00 90.00 90.00
Fractional positions:
Ti (0.0000, 0.0000, 0.0000)
Al (0.0000, 0.0000, 0.5000)
Al (0.0000, 0.5000, 0.2486)
Al (0.0000, 0.5000, 0.7514)
Al (0.5000, 0.0000, 0.2486)
Al (0.5000, 0.0000, 0.7514)
Al (0.5000, 0.5000, 0.0000)
Mo (0.5000, 0.5000, 0.5000)

Properties
calculated formation energy	-353	meV/atom
calculated volume	15.06	Å³/atom
DOS(E_F)	0.3298	states/eV per atom
symmetry	No. 123